[1]
Here is a relaxed structure of Pm3NbPd12 from Alexandria. Energies are from PBE.

a b c (Å): 4.133 4.133 16.498
angles (deg): 90.00 90.00 90.00
Sites, in units of the cell vectors:
Pm1 0.000 0.000 0.000
Pm2 0.000 0.000 0.252
Pm3 0.000 0.000 0.748
Nb1 0.000 0.000 0.500
Pd1 0.000 0.500 0.129
Pd2 0.000 0.500 0.388
Pd3 0.000 0.500 0.612
Pd4 0.000 0.500 0.871
Pd5 0.500 0.000 0.129
Pd6 0.500 0.000 0.388
Pd7 0.500 0.000 0.612
Pd8 0.500 0.000 0.871
Pd9 0.500 0.500 0.000
Pd10 0.500 0.500 0.259
Pd11 0.500 0.500 0.500
Pd12 0.500 0.500 0.741

- crystal system = tetragonal
- E_tot (eV/atom) = -6.121
- formation energy (kJ/mol of formula units) = -1091



[2]
Here is a relaxed structure of Pr3Nb5Pd12 from Alexandria. Energies are from PBE.

a b c (Å): 13.525 13.525 13.525
angles (deg): 109.47 109.47 109.47
Sites, in units of the cell vectors:
Pr1 0.125 0.250 0.375
Pr2 0.125 0.375 0.750
Pr3 0.250 0.375 0.125
Pr4 0.250 0.875 0.625
Pr5 0.375 0.125 0.250
Pr6 0.375 0.750 0.125
Pr7 0.625 0.250 0.875
Pr8 0.625 0.875 0.750
Pr9 0.750 0.125 0.375
Pr10 0.750 0.625 0.875
Pr11 0.875 0.625 0.250
Pr12 0.875 0.750 0.625
Nb1 0.000 0.000 0.000
Nb2 0.000 0.000 0.500
Nb3 0.000 0.500 0.000
Nb4 0.000 0.500 0.500
Nb5 0.125 0.750 0.875
Nb6 0.125 0.875 0.250
Nb7 0.250 0.125 0.875
Nb8 0.250 0.625 0.375
Nb9 0.375 0.250 0.625
Nb10 0.375 0.625 0.750
Nb11 0.500 0.000 0.000
Nb12 0.500 0.000 0.500
Nb13 0.500 0.500 0.000
Nb14 0.500 0.500 0.500
Nb15 0.625 0.375 0.250
Nb16 0.625 0.750 0.375
Nb17 0.750 0.375 0.625
Nb18 0.750 0.875 0.125
Nb19 0.875 0.125 0.750
Nb20 0.875 0.250 0.125
Pd1 0.051 0.221 0.129
Pd2 0.051 0.331 0.922
Pd3 0.078 0.629 0.408
Pd4 0.078 0.949 0.669
Pd5 0.092 0.721 0.669
Pd6 0.092 0.871 0.422
Pd7 0.129 0.051 0.221
Pd8 0.129 0.578 0.908
Pd9 0.169 0.221 0.592
Pd10 0.169 0.449 0.578
Pd11 0.221 0.129 0.051
Pd12 0.221 0.592 0.169
Pd13 0.279 0.331 0.908
Pd14 0.279 0.449 0.371
Pd15 0.331 0.908 0.279
Pd16 0.331 0.922 0.051
Pd17 0.371 0.279 0.449
Pd18 0.371 0.592 0.922
Pd19 0.408 0.078 0.629
Pd20 0.408 0.831 0.779
Pd21 0.422 0.092 0.871
Pd22 0.422 0.831 0.551
Pd23 0.449 0.371 0.279
Pd24 0.449 0.578 0.169
Pd25 0.551 0.422 0.831
Pd26 0.551 0.629 0.721
Pd27 0.578 0.169 0.449
Pd28 0.578 0.908 0.129
Pd29 0.592 0.169 0.221
Pd30 0.592 0.922 0.371
Pd31 0.629 0.408 0.078
Pd32 0.629 0.721 0.551
Pd33 0.669 0.078 0.949
Pd34 0.669 0.092 0.721
Pd35 0.721 0.551 0.629
Pd36 0.721 0.669 0.092
Pd37 0.779 0.408 0.831
Pd38 0.779 0.871 0.949
Pd39 0.831 0.551 0.422
Pd40 0.831 0.779 0.408
Pd41 0.871 0.422 0.092
Pd42 0.871 0.949 0.779
Pd43 0.908 0.129 0.578
Pd44 0.908 0.279 0.331
Pd45 0.922 0.051 0.331
Pd46 0.922 0.371 0.592
Pd47 0.949 0.669 0.078
Pd48 0.949 0.779 0.871

- crystal system = cubic
- E_tot (eV/atom) = -6.004
- formation energy (kJ/mol of formula units) = 669